Record 1
Computed, not measured: a relaxed structure of Na2RhC at the PBE-GGA level of DFT.

abc: 10.2915 10.2915 3.7973
angles: 90.00 90.00 90.00
Last column: nearest neighbours and their distance in Å.
Space group I-42d (No. 122)
Unique sites:
Na (0.0084, 0.2500, 0.1250) (multiplicity 8)  2 C 2.62
Rh (0.0000, 0.0000, 0.5000) (multiplicity 4)  2 C 1.90
C (0.0000, 0.0000, 0.0000) (multiplicity 4)  2 Rh 1.90

Computed properties:
Offset from the most stable computed form (eV per atom): 0.000
VASP energy (eV/atom): -4.3702
M_tot (μB per cell): 0.247
Energy relative to the elements (eV/atom): 0.433
Calculated density (g/cm³): 2.7

Record 2
Computed, not measured: a relaxed structure of Na3RhC at the PBE-GGA level of DFT.

abc: 4.7542 4.7542 4.7542
angles: 90.00 90.00 90.00
Last column: nearest neighbours and their distance in Å.
Space group Pm-3m (No. 221)
Unique sites:
Na (0.0000, 0.0000, 0.5000) (multiplicity 3)  2 C 2.38
Rh (0.5000, 0.5000, 0.5000) (multiplicity 1)  12 Na 3.36
C (0.0000, 0.0000, 0.0000) (multiplicity 1)  6 Na 2.38

Computed properties:
Offset from the most stable computed form (eV per atom): 0.000
VASP energy (eV/atom): -2.7326
M_tot (μB per cell): 0.001
Energy relative to the elements (eV/atom): 1.374
Calculated density (g/cm³): 2.8

Record 3
Computed, not measured: a relaxed structure of NaRh3C at the PBE-GGA level of DFT.

abc: 4.4723 4.4723 4.4723
angles: 90.00 90.00 90.00
Last column: nearest neighbours and their distance in Å.
Space group Pm-3m (No. 221)
Unique sites:
Na (0.0000, 0.0000, 0.0000) (multiplicity 1)  6 Rh 2.24
Rh (0.0000, 0.0000, 0.5000) (multiplicity 3)  2 Na 2.24
C (0.5000, 0.5000, 0.5000) (multiplicity 1)  12 Rh 3.16

Computed properties:
Offset from the most stable computed form (eV per atom): 2.853
VASP energy (eV/atom): -3.5300
M_tot (μB per cell): 0.000
Energy relative to the elements (eV/atom): 2.989
Calculated density (g/cm³): 6.4

Record 4
Computed, not measured: a relaxed structure of NaSrRh2C at the PBE-GGA level of DFT.

abc: 4.1725 4.1725 4.8326
angles: 90.00 90.00 90.00
Last column: nearest neighbours and their distance in Å.
Space group P4/mmm (No. 123)
Unique sites:
Na (0.0000, 0.0000, 0.0000) (multiplicity 1)  2 C 2.42
Sr (0.5000, 0.5000, 0.0000) (multiplicity 1)  4 Na 2.95, 8 Rh 3.19
Rh (0.0000, 0.5000, 0.5000) (multiplicity 2)  2 C 2.09
C (0.0000, 0.0000, 0.5000) (multiplicity 1)  4 Rh 2.09

Computed properties:
VASP energy (eV/atom): -5.3347
M_tot (μB per cell): 0.000
Energy relative to the elements (eV/atom): 0.051
Calculated density (g/cm³): 6.5

Record 5
Computed, not measured: a relaxed structure of NaSr2RhC at the PBE-GGA level of DFT.

abc: 5.6492 5.6492 3.9580
angles: 90.00 90.00 90.00
Last column: nearest neighbours and their distance in Å.
Space group P4/mmm (No. 123)
Unique sites:
Na (0.0000, 0.0000, 0.0000) (multiplicity 1)  8 Sr 3.45
Sr (0.0000, 0.5000, 0.5000) (multiplicity 2)  2 C 2.82
Rh (0.5000, 0.5000, 0.0000) (multiplicity 1)  2 C 1.98
C (0.5000, 0.5000, 0.5000) (multiplicity 1)  2 Rh 1.98

Computed properties:
VASP energy (eV/atom): -4.2429
M_tot (μB per cell): 0.000
Energy relative to the elements (eV/atom): 0.009
Calculated density (g/cm³): 4.1

Record 6
Computed, not measured: a relaxed structure of NaY2RhC at the PBE-GGA level of DFT.

abc: 5.0779 5.0779 3.9799
angles: 90.00 90.00 90.00
Last column: nearest neighbours and their distance in Å.
Space group P4/mmm (No. 123)
Unique sites:
Na (0.0000, 0.0000, 0.0000) (multiplicity 1)  8 Y 3.23, 4 Rh 3.59
Y (0.0000, 0.5000, 0.5000) (multiplicity 2)  2 C 2.54
Rh (0.5000, 0.5000, 0.0000) (multiplicity 1)  2 C 1.99
C (0.5000, 0.5000, 0.5000) (multiplicity 1)  2 Rh 1.99

Computed properties:
VASP energy (eV/atom): -6.3501
M_tot (μB per cell): 0.000
Energy relative to the elements (eV/atom): -0.186
Calculated density (g/cm³): 5.1

Record 7
Computed, not measured: a relaxed structure of Na2ZrRhC at the PBE-GGA level of DFT.

abc: 6.3485 6.3485 4.6636
angles: 90.00 90.00 90.00
Last column: nearest neighbours and their distance in Å.
Space group P4/mmm (No. 123)
Unique sites:
Na (0.0000, 0.5000, 0.0000) (multiplicity 2)  2 Zr 3.17
Zr (0.0000, 0.0000, 0.0000) (multiplicity 1)  2 Rh 2.33
Rh (0.0000, 0.0000, 0.5000) (multiplicity 1)  2 Zr 2.33
C (0.5000, 0.5000, 0.5000) (multiplicity 1)  8 Na 3.94

Computed properties:
VASP energy (eV/atom): -3.4278
M_tot (μB per cell): 1.070
Energy relative to the elements (eV/atom): 2.124
Calculated density (g/cm³): 2.2

Record 8
Computed, not measured: a relaxed structure of NaRuC3 at the PBE-GGA level of DFT.

abc: 4.0664 4.0664 4.0664
angles: 90.00 90.00 90.00
Last column: nearest neighbours and their distance in Å.
Space group Pm-3m (No. 221)
Unique sites:
Na (0.0000, 0.0000, 0.0000) (multiplicity 1)  12 C 2.88
Ru (0.5000, 0.5000, 0.5000) (multiplicity 1)  6 C 2.03
C (0.0000, 0.5000, 0.5000) (multiplicity 3)  2 Ru 2.03

Computed properties:
Offset from the most stable computed form (eV per atom): 0.000
VASP energy (eV/atom): -5.9112
M_tot (μB per cell): 0.000
Energy relative to the elements (eV/atom): 1.742
Calculated density (g/cm³): 4.0

Record 9
Computed, not measured: a relaxed structure of NaRuC3 at the PBE-GGA level of DFT.

abc: 3.8728 3.8728 3.8728
angles: 90.00 90.00 90.00
Last column: nearest neighbours and their distance in Å.
Space group Pm-3m (No. 221)
Unique sites:
Na (0.0000, 0.0000, 0.0000) (multiplicity 1)  6 C 1.94
Ru (0.5000, 0.5000, 0.5000) (multiplicity 1)  12 C 2.74
C (0.0000, 0.0000, 0.5000) (multiplicity 3)  2 Na 1.94

Computed properties:
Offset from the most stable computed form (eV per atom): 2.245
VASP energy (eV/atom): -3.6660
M_tot (μB per cell): 0.000
Energy relative to the elements (eV/atom): 3.987
Calculated density (g/cm³): 4.6

Record 10
Computed, not measured: a relaxed structure of NaRuC2Se at the PBE-GGA level of DFT.

abc: 4.1095 4.1095 4.8375
angles: 90.00 90.00 90.00
Last column: nearest neighbours and their distance in Å.
Space group P4/mmm (No. 123)
Unique sites:
Na (0.0000, 0.0000, 0.0000) (multiplicity 1)  4 C 2.05
Ru (0.0000, 0.0000, 0.5000) (multiplicity 1)  2 Na 2.42
C (0.0000, 0.5000, 0.0000) (multiplicity 2)  2 Na 2.05
Se (0.5000, 0.5000, 0.5000) (multiplicity 1)  4 Ru 2.91, 8 C 3.17

Computed properties:
VASP energy (eV/atom): -3.3270
M_tot (μB per cell): 1.066
Calculated density (g/cm³): 4.6
Raw formation energy (eV per atom): 3.178

Record 11
Computed, not measured: a relaxed structure of NaSrRuC2 at the PBE-GGA level of DFT.

abc: 4.3714 4.3714 4.7914
angles: 90.00 90.00 90.00
Last column: nearest neighbours and their distance in Å.
Space group P4/mmm (No. 123)
Unique sites:
Na (0.0000, 0.0000, 0.0000) (multiplicity 1)  4 C 2.19, 2 Sr 2.40
Sr (0.0000, 0.0000, 0.5000) (multiplicity 1)  2 Na 2.40
Ru (0.5000, 0.5000, 0.5000) (multiplicity 1)  4 Sr 3.09, 8 C 3.24
C (0.0000, 0.5000, 0.0000) (multiplicity 2)  2 Na 2.19

Computed properties:
VASP energy (eV/atom): -3.3246
M_tot (μB per cell): 1.730
Energy relative to the elements (eV/atom): 2.820
Calculated density (g/cm³): 4.3

Record 12
Computed, not measured: a relaxed structure of NaTeRu2C at the PBE-GGA level of DFT.

abc: 4.6820 4.6820 3.9147
angles: 90.00 90.00 90.00
Last column: nearest neighbours and their distance in Å.
Space group P4/mmm (No. 123)
Unique sites:
Na (0.0000, 0.0000, 0.0000) (multiplicity 1)  2 C 1.96
Te (0.5000, 0.5000, 0.5000) (multiplicity 1)  8 Ru 3.05, 4 C 3.31
Ru (0.0000, 0.5000, 0.0000) (multiplicity 2)  2 Na 2.34
C (0.0000, 0.0000, 0.5000) (multiplicity 1)  2 Na 1.96

Computed properties:
VASP energy (eV/atom): -4.0096
M_tot (μB per cell): 0.001
Calculated density (g/cm³): 7.1
Raw formation energy (eV per atom): 2.438

Record 13
Computed, not measured: a relaxed structure of NaY2RuC at the PBE-GGA level of DFT.

abc: 5.0811 5.0811 3.9637
angles: 90.00 90.00 90.00
Last column: nearest neighbours and their distance in Å.
Space group P4/mmm (No. 123)
Unique sites:
Na (0.0000, 0.0000, 0.0000) (multiplicity 1)  8 Y 3.22, 4 Ru 3.59
Y (0.0000, 0.5000, 0.5000) (multiplicity 2)  2 C 2.54
Ru (0.5000, 0.5000, 0.0000) (multiplicity 1)  2 C 1.98
C (0.5000, 0.5000, 0.5000) (multiplicity 1)  2 Ru 1.98

Computed properties:
VASP energy (eV/atom): -6.6708
M_tot (μB per cell): 0.000
Energy relative to the elements (eV/atom): -0.121
Calculated density (g/cm³): 5.1